# Ba2CaBi

Crystalline Ba2CaBi at its relaxed geometry (PBE-GGA, the Alexandria database).

Cell and atoms, written as CIF:
```
data_Ba2CaBi
_chemical_formula_sum 'Ba2 Ca1 Bi1'
_cell_length_a 4.663
_cell_length_b 4.663
_cell_length_c 8.295
_cell_angle_alpha 90.00
_cell_angle_beta 90.00
_cell_angle_gamma 90.00
_space_group_name_H-M_alt 'P 4/m m m'
_space_group_IT_number 123
_space_group_name_Hall '-P 4 2'
loop_
_atom_site_label
_atom_site_fract_x
_atom_site_fract_y
_atom_site_fract_z
Ba1 0.000 0.000 0.210
Ca1 0.500 0.500 0.500
Bi1 0.500 0.500 0.000
```

* energy of formation: -0.461 eV/atom
* VASP energy: -2.893 eV per atom